No. 1
KBe2PRh after structural relaxation, computed with PBE-GGA.

The structure belongs to space group P4/mmm (No. 123); the cell edges are 4.7358, 4.7358 and 4.5943 Å and the angles 90.00°, 90.00° and 90.00°. The asymmetric unit holds K at (0.0000, 0.0000, 0.0000), Be at (0.0000, 0.5000, 0.0000), P at (0.5000, 0.5000, 0.5000) and Rh at (0.0000, 0.0000, 0.5000).

As for the formation energy: 2.464 eV/atom.

***

No. 2
Be2InCl after structural relaxation, computed with PBE-GGA.

The structure belongs to space group Imm2 (No. 44); the cell edges are 2.8937, 5.6731 and 9.0473 Å and the angles 90.00°, 90.00° and 90.00°. The asymmetric unit holds Be at (0.0000, 0.0000, 0.0000), Be at (0.0000, 0.5000, 0.3043), In at (0.0000, 0.5000, 0.7866) and Cl at (0.0000, 0.0000, 0.6388).

Its formation energy without anion corrections is 7.594 kcal/mol of atoms.

***

No. 3
InTeOs2 after structural relaxation, computed with PBE-GGA.

The structure belongs to space group I-42d (No. 122); the cell edges are 6.1741, 6.1741 and 11.0245 Å and the angles 90.00°, 90.00° and 90.00°. The asymmetric unit holds In at (0.0000, 0.0000, 0.0000), Te at (0.0000, 0.0000, 0.5000) and Os at (0.2320, 0.2500, 0.6250).

Its formation energy without anion corrections is 31.555 kcal/mol of atoms.

***

No. 4
ZrScRh4 after structural relaxation, computed with PBE-GGA.

The structure belongs to space group F-43m (No. 216); the cell edges are 7.3667, 7.3667 and 7.3667 Å and the angles 90.00°, 90.00° and 90.00°. The asymmetric unit holds Zr at (0.0000, 0.0000, 0.0000), Sc at (0.2500, 0.2500, 0.2500) and Rh at (0.1247, 0.1247, 0.6247).

As for the formation energy: -0.655 eV/atom.

***

No. 5
Ac3Ga2PdAu6 after structural relaxation, computed with PBE-GGA.

The structure belongs to space group P-3m1 (No. 164); the cell edges are 6.4520, 6.4520 and 8.5021 Å and the angles 90.00°, 90.00° and 120.00°. The asymmetric unit holds Ac at (0.0000, 0.0000, 0.0000), Ac at (0.3333, 0.6667, 0.6387), Ga at (0.3333, 0.6667, 0.0342), Pd at (0.0000, 0.0000, 0.5000) and Au at (0.1819, 0.3639, 0.2851).

As for the formation energy: -0.538 eV/atom.

***

No. 6
CdGa2Sb after structural relaxation, computed with PBE-GGA.

The structure belongs to space group R-3m (No. 166, hexagonal axes); the cell edges are 4.1494, 4.1494 and 25.0284 Å and the angles 90.00°, 90.00° and 120.00°. The asymmetric unit holds Cd at (0.0000, 0.0000, 0.0000), Ga at (0.0000, 0.0000, 0.1079) and Sb at (0.0000, 0.0000, 0.5000).

Its formation energy without anion corrections is 3.598 kcal/mol of atoms.

***

No. 7
KTa2BiAs after structural relaxation, computed with PBE-GGA.

The structure belongs to space group P4/mmm (No. 123); the cell edges are 4.8903, 4.8903 and 5.8918 Å and the angles 90.00°, 90.00° and 90.00°. The asymmetric unit holds K at (0.0000, 0.0000, 0.0000), Ta at (0.0000, 0.5000, 0.5000), Bi at (0.5000, 0.5000, 0.0000) and As at (0.5000, 0.5000, 0.5000).

As for the formation energy: 0.973 eV/atom.

***

No. 8
TlNiAu2 after structural relaxation, computed with PBE-GGA.

The structure belongs to space group P4/mmm (No. 123); the cell edges are 3.1645, 3.1645 and 7.4877 Å and the angles 90.00°, 90.00° and 90.00°. The asymmetric unit holds Tl at (0.0000, 0.0000, 0.0000), Ni at (0.0000, 0.0000, 0.5000) and Au at (0.5000, 0.5000, 0.3033).

As for the formation energy: 0.145 eV/atom.